Record 1
NaYGeO4: single point on PBEsol structure, meta-GGA SCAN.

Geometry as POSCAR:
```
NaYGeO4
1.0
-3.555 2.405 3.050
-4.131 -4.804 -1.027
4.109 -5.483 9.113
O Y Ge Na
16 4 4 4
direct
0.174 0.750 0.546
0.275 0.250 0.611
0.225 0.250 0.111
0.708 0.459 0.174
0.208 0.541 0.326
0.674 0.250 0.954
0.826 0.250 0.454
0.792 0.459 0.674
0.292 0.959 0.826
0.326 0.750 0.046
0.775 0.750 0.889
0.792 0.041 0.674
0.725 0.750 0.389
0.708 0.041 0.174
0.292 0.541 0.826
0.208 0.959 0.326
0.005 0.750 0.723
0.995 0.250 0.277
0.505 0.250 0.777
0.495 0.750 0.223
0.554 0.250 0.097
0.446 0.750 0.903
0.946 0.250 0.597
0.054 0.750 0.403
0.000 0.000 0.000
0.500 0.500 0.500
0.000 0.500 0.000
0.500 0.000 0.500
```

Output
- ΔE_f (raw) (eV/atom) = -2.709
- raw total energy (eV for the cell shown) = -380.13
- ρ (g/cm³) = 4.28

Record 2
Na4Zr2Ge3O12: single point on PBEsol structure, meta-GGA SCAN.

Geometry as POSCAR:
```
Na4Zr2Ge3O12
1.0
9.251 -0.018 -0.013
4.392 8.142 -0.013
4.392 2.615 7.710
O Na Ge Zr
24 8 6 4
direct
0.918 0.068 0.256
0.370 0.197 0.992
0.932 0.744 0.082
0.489 0.706 0.865
0.803 0.008 0.630
0.082 0.932 0.744
0.511 0.294 0.135
0.575 0.238 0.443
0.197 0.992 0.370
0.992 0.370 0.197
0.744 0.082 0.932
0.630 0.803 0.008
0.256 0.918 0.068
0.706 0.865 0.489
0.443 0.575 0.238
0.557 0.425 0.762
0.294 0.135 0.511
0.762 0.557 0.425
0.425 0.762 0.557
0.865 0.489 0.706
0.238 0.443 0.575
0.135 0.511 0.294
0.068 0.256 0.918
0.008 0.630 0.803
0.500 0.500 0.500
0.250 0.628 0.873
0.750 0.372 0.127
0.873 0.250 0.628
0.127 0.750 0.372
0.000 0.000 0.000
0.628 0.873 0.250
0.372 0.127 0.750
0.750 0.045 0.455
0.250 0.955 0.545
0.455 0.750 0.045
0.045 0.455 0.750
0.955 0.545 0.250
0.545 0.250 0.955
0.644 0.644 0.644
0.356 0.356 0.356
0.144 0.144 0.144
0.856 0.856 0.856
```

Output
- ΔE_f (raw) (eV/atom) = -2.448
- raw total energy (eV for the cell shown) = -523.42
- ρ (g/cm³) = 3.90

Record 3
Na5GeP3: single point on PBEsol structure, meta-GGA SCAN.

Geometry as POSCAR:
```
Na5GeP3
1.0
-6.836 2.340 -0.977
-2.006 -2.843 7.229
3.146 11.436 5.382
Ge P Na
4 12 20
direct
0.643 0.571 0.913
0.143 0.929 0.587
0.357 0.429 0.087
0.857 0.071 0.413
0.236 0.086 0.728
0.736 0.414 0.772
0.738 0.343 0.419
0.238 0.157 0.081
0.764 0.914 0.272
0.688 0.411 0.066
0.264 0.586 0.228
0.762 0.843 0.919
0.188 0.089 0.434
0.312 0.589 0.934
0.812 0.911 0.566
0.262 0.657 0.581
0.664 0.578 0.580
0.150 0.925 0.241
0.505 0.179 0.258
0.967 0.668 0.084
0.164 0.922 0.920
0.836 0.078 0.080
0.484 0.827 0.088
0.336 0.422 0.420
0.005 0.321 0.242
0.533 0.168 0.584
0.995 0.679 0.758
0.516 0.173 0.912
0.016 0.327 0.588
0.033 0.332 0.916
0.495 0.821 0.742
0.984 0.673 0.412
0.650 0.575 0.259
0.467 0.832 0.416
0.850 0.075 0.759
0.350 0.425 0.741
```

Output
- E_form (eV per atom) = -0.47
- raw total energy (eV for the cell shown) = -302.26
- ρ (g/cm³) = 2.45

Record 4
Na4Ge2PbS6: single point on PBEsol structure, meta-GGA SCAN.

Geometry as POSCAR:
```
Na4Ge2PbS6
1.0
-3.823 4.083 -3.801
-2.755 -5.461 2.884
0.509 4.437 6.253
S Na Ge Pb
6 4 2 1
direct
0.771 0.771 0.755
0.084 0.398 0.752
0.397 0.082 0.751
0.602 0.916 0.248
0.229 0.229 0.245
0.918 0.603 0.249
0.501 0.499 0.000
0.177 0.823 0.000
0.822 0.178 0.000
0.334 0.666 0.500
0.052 0.052 0.663
0.948 0.948 0.337
0.665 0.335 0.500
```

Output
- ΔE_f (raw) (eV/atom) = -0.975
- raw total energy (eV for the cell shown) = -201.26
- ρ (g/cm³) = 3.62

Record 5
NaSrGePb2: single point on PBEsol structure, meta-GGA SCAN.

Geometry as POSCAR:
```
NaSrGePb2
1.0
5.179 0.000 0.000
0.000 5.436 0.000
0.000 0.000 5.436
Sr Na Pb Ge
1 1 2 1
direct
0.500 0.500 0.500
0.000 0.000 0.000
0.000 0.500 0.000
0.000 0.000 0.500
0.500 0.000 0.000
```

Output
- E_form (eV per atom) = 0.10
- raw total energy (eV for the cell shown) = -196.62
- ρ (g/cm³) = 6.49

Record 6
NaSr2GePb: single point on PBEsol structure, meta-GGA SCAN.

Geometry as POSCAR:
```
NaSr2GePb
1.0
5.367 0.000 0.000
0.000 5.934 0.000
0.000 0.000 5.934
Na Ge Pb Sr
1 1 1 2
direct
0.500 0.000 0.000
0.000 0.000 0.000
0.500 0.500 0.500
0.000 0.500 0.000
0.000 0.000 0.500
```

Output
- E_form (eV per atom) = -0.16
- raw total energy (eV for the cell shown) = -144.43
- ρ (g/cm³) = 4.20

Record 7
Na2Ge2Pd: single point on PBEsol structure, meta-GGA SCAN.

Geometry as POSCAR:
```
Na2Ge2Pd
1.0
-1.865 -3.843 -2.419
5.000 0.081 -3.984
3.159 -3.978 3.883
Ge Na Pd
4 4 2
direct
0.000 0.865 0.635
0.000 0.365 0.865
0.000 0.635 0.135
0.000 0.135 0.365
0.500 0.321 0.179
0.500 0.821 0.321
0.500 0.179 0.679
0.500 0.679 0.821
0.000 0.000 0.000
0.000 0.500 0.500
```

Output
- E_form (eV per atom) = -0.31
- raw total energy (eV for the cell shown) = -161.90
- ρ (g/cm³) = 4.93

Record 8
NaGePt3: single point on PBEsol structure, meta-GGA SCAN.

Geometry as POSCAR:
```
NaGePt3
1.0
4.645 0.000 0.000
0.000 4.645 0.000
0.000 0.000 4.645
Pt Na Ge
3 1 1
direct
0.500 0.000 0.000
0.000 0.000 0.500
0.000 0.500 0.000
0.500 0.500 0.500
0.000 0.000 0.000
```

Output
- E_form (eV per atom) = 0.17
- raw total energy (eV for the cell shown) = -233.05
- ρ (g/cm³) = 11.28

Q: Which value of raw total energy does entry 8 give?
A: -233.05 eV for the cell shown

Q: The highest raw total energy belongs to which entry?
A: NaSr2GePb

Q: Look up the raw total energy of the seventh one.
A: -161.90 eV for the cell shown